# 1
V3Mo6W (PBE-GGA, relaxed); magnetization = 0.000 μB/f.u.; excess energy over the best structure of this formula in the dataset = 0.00 eV/f.u.; VASP energy = -10.632 eV per atom
1.0
2.734 0.000 0.000
-0.879 9.147 0.000
-0.921 -3.532 12.131
V Mo W
6 12 2
Cartesian
0.006 0.505 2.136
-0.001 1.591 6.356
0.005 -1.619 9.394
0.930 7.234 2.737
0.935 4.024 5.774
0.929 5.110 9.995
-0.918 0.154 11.194
-0.905 3.343 8.151
-0.880 6.484 5.152
0.013 4.761 3.369
0.028 7.935 0.329
0.018 5.802 7.602
0.916 -0.187 4.529
0.906 -2.320 11.802
0.921 0.854 8.762
1.814 -0.869 6.979
1.839 2.272 3.980
1.852 5.461 0.937
0.001 2.666 10.601
0.933 2.949 1.529

---

# 2
V2Mo6W (PBE-GGA, relaxed); magnetization = 0.000 μB/f.u.; excess energy over the best structure of this formula in the dataset = 0.37 eV/f.u.; VASP energy = -10.599 eV per atom
1.0
2.514 -6.747 0.000
2.514 6.747 0.000
-1.780 0.000 4.138
V Mo W
2 6 1
Cartesian
2.514 4.598 0.000
2.514 -4.598 0.000
0.485 2.233 2.779
1.370 0.000 0.691
0.485 -2.233 2.779
2.762 2.233 1.359
1.878 0.000 3.448
2.762 -2.233 1.359
-0.890 0.000 2.069

---

# 3
V2Mo2W3 (PBE-GGA, relaxed); magnetization = 0.000 μB/f.u.; excess energy over the best structure of this formula in the dataset = 0.00 eV/f.u.; VASP energy = -11.351 eV per atom
1.0
4.692 -2.214 0.000
4.692 2.214 0.000
-0.510 0.000 5.158
V Mo W
2 2 3
Cartesian
1.828 0.000 1.865
7.046 0.000 3.293
0.274 0.000 4.048
8.600 0.000 1.111
2.854 0.000 4.782
4.437 0.000 2.579
6.020 0.000 0.376

---

> VASP energy of number 3 (V2Mo2W3)?

-11.351 eV per atom

---

> Which of these has the highest excess energy over the best structure of this formula in the dataset?

V2Mo6W